# YTmCu2Si2

An optimized crystal structure of YTmCu2Si2 (PBE-GGA, OQMD).

Summary:
* total magnetic moment: 0.01 μB/cell
* total energy: -5.543 eV per atom

Unit cell a=4.1317 b=4.1317 c=7.4360 alpha=90.00 beta=90.00 gamma=120.00
Space group P-3m1 (No. 164)
Inequivalent atoms, fractional coordinates:
Y: 0.0000 0.0000 0.0000
Tm: 0.0000 0.0000 0.5000
Cu: 0.3333 0.6667 0.2551
Si: 0.3333 0.6667 0.7459